(1)
# BeSi2Ge | the Alexandria database | PBE | relaxed
# - Raw formation energy: 0.40 eV per atom
# - Electronic total energy: -4.396 eV/atom
# - ΔE to the lowest computed polymorph: 0.000 eV/f.u.
data_BeSi2Ge
_symmetry_space_group_name_H-M 'I -4 2 d'
_symmetry_Int_Tables_number 122
_symmetry_space_group_name_Hall 'I -4 2bw'
_cell_length_a 4.7890
_cell_length_b 4.7890
_cell_length_c 12.6722
_cell_angle_alpha 90.00
_cell_angle_beta 90.00
_cell_angle_gamma 90.00
loop_
_atom_site_label
_atom_site_fract_x
_atom_site_fract_y
_atom_site_fract_z
Be1 0.0000 0.0000 0.0000
Si1 0.1931 0.2500 0.1250
Ge1 0.0000 0.0000 0.5000

***

(2)
# BeTlSi2Ge | the Alexandria database | PBE | relaxed
# - Raw formation energy: 0.72 eV per atom
# - Electronic total energy: -3.587 eV/atom
data_BeTlSi2Ge
_symmetry_space_group_name_H-M 'P 4/m m m'
_symmetry_Int_Tables_number 123
_symmetry_space_group_name_Hall '-P 4 2'
_cell_length_a 4.4046
_cell_length_b 4.4046
_cell_length_c 5.0566
_cell_angle_alpha 90.00
_cell_angle_beta 90.00
_cell_angle_gamma 90.00
loop_
_atom_site_label
_atom_site_fract_x
_atom_site_fract_y
_atom_site_fract_z
Be1 0.0000 0.0000 0.0000
Tl1 0.0000 0.0000 0.5000
Si1 0.0000 0.5000 0.0000
Ge1 0.5000 0.5000 0.5000

***

(3)
# Sm2BeGe3 | the Alexandria database | PBE | relaxed
# - Electronic total energy: -5.157 eV/atom
# - ΔE to the lowest computed polymorph: 0.000 eV/f.u.
# - Formation energy from the elements: -0.654 eV/atom
data_Sm2BeGe3
_symmetry_space_group_name_H-M 'F m m m'
_symmetry_Int_Tables_number 69
_symmetry_space_group_name_Hall '-F 2 2'
_cell_length_a 8.2097
_cell_length_b 8.3114
_cell_length_c 14.1283
_cell_angle_alpha 90.00
_cell_angle_beta 90.00
_cell_angle_gamma 90.00
loop_
_atom_site_label
_atom_site_fract_x
_atom_site_fract_y
_atom_site_fract_z
Sm1 0.0000 0.2433 0.0000
Sm2 0.2500 0.2500 0.2500
Be1 0.0000 0.0000 0.3334
Ge1 0.0000 0.0000 0.1751
Ge2 0.2313 0.0000 0.4125

***

(4)
# Sm3Be2Ge3 | the Alexandria database | PBE | relaxed
# - Electronic total energy: -5.052 eV/atom
# - Formation energy from the elements: -0.619 eV/atom
data_Sm3Be2Ge3
_symmetry_space_group_name_H-M 'C m c m'
_symmetry_Int_Tables_number 63
_symmetry_space_group_name_Hall '-C 2c 2'
_cell_length_a 3.9575
_cell_length_b 10.8997
_cell_length_c 15.1476
_cell_angle_alpha 90.00
_cell_angle_beta 90.00
_cell_angle_gamma 90.00
loop_
_atom_site_label
_atom_site_fract_x
_atom_site_fract_y
_atom_site_fract_z
Sm1 0.0000 0.0471 0.2500
Sm2 0.0000 0.3520 0.0925
Be1 0.0000 0.3605 0.6206
Ge1 0.0000 0.0801 0.0591
Ge2 0.0000 0.2325 0.7500

***

(5)
# Sm2BeGe3 | the Alexandria database | PBE | relaxed
# - Electronic total energy: -5.134 eV/atom
# - ΔE to the lowest computed polymorph: 0.138 eV/f.u.
# - Formation energy from the elements: -0.631 eV/atom
data_Sm2BeGe3
_symmetry_space_group_name_H-M 'P m m 2'
_symmetry_Int_Tables_number 25
_symmetry_space_group_name_Hall 'P 2 -2'
_cell_length_a 4.0838
_cell_length_b 4.1883
_cell_length_c 7.1030
_cell_angle_alpha 90.00
_cell_angle_beta 90.00
_cell_angle_gamma 90.00
loop_
_atom_site_label
_atom_site_fract_x
_atom_site_fract_y
_atom_site_fract_z
Sm1 0.0000 0.0000 0.0000
Sm2 0.5000 0.0000 0.4989
Be1 0.5000 0.5000 0.1769
Ge1 0.0000 0.5000 0.3087
Ge2 0.0000 0.5000 0.6598
Ge3 0.5000 0.5000 0.8604

***

(6)
# BeSnGe2 | the Alexandria database | PBE | relaxed
# - Electronic total energy: -3.658 eV/atom
# - ΔE to the lowest computed polymorph: 1.211 eV/f.u.
# - Formation energy from the elements: 0.583 eV/atom
data_BeSnGe2
_symmetry_space_group_name_H-M 'F m -3 m'
_symmetry_Int_Tables_number 225
_symmetry_space_group_name_Hall '-F 4 2 3'
_cell_length_a 6.7543
_cell_length_b 6.7543
_cell_length_c 6.7543
_cell_angle_alpha 90.00
_cell_angle_beta 90.00
_cell_angle_gamma 90.00
loop_
_atom_site_label
_atom_site_fract_x
_atom_site_fract_y
_atom_site_fract_z
Be1 0.0000 0.0000 0.0000
Sn1 0.0000 0.0000 0.5000
Ge1 0.2500 0.2500 0.2500